# ReSbAs2

A geometry-optimized ReSbAs2 structure (PBE, the Alexandria database).

Summary:
The total energy comes out at -6.08 eV per atom. The volume is 19.9 A^3/atom.

a = 8.177 Å, b = 3.178 Å, c = 6.177 Å
α = 90.00°, β = 98.20°, γ = 90.00°
Space group C2/m (No. 12)
One atom of each set of equivalent atoms:
Re: 0.000 0.000 0.000 (multiplicity 2)
Sb: 0.000 0.500 0.500 (multiplicity 2)
As: 0.224 0.500 0.186 (multiplicity 4)

---

# Hf2NbW

A geometry-optimized Hf2NbW structure (PBE, the Alexandria database).

Summary:
The formation energy comes out at 0.579 eV per atom. The total energy comes out at -10.15 eV per atom. The volume is 20.0 A^3/atom.

a = 2.9033 Å, b = 2.9033 Å, c = 32.9411 Å
α = 90.00°, β = 90.00°, γ = 120.00°
Space group R-3m (No. 166, hexagonal axes)
One atom of each set of equivalent atoms:
Hf: 0.0000 0.0000 0.0839 (multiplicity 6)
Nb: 0.0000 0.0000 0.5000 (multiplicity 3)
W: 0.0000 0.0000 0.0000 (multiplicity 3)

---

# PrGaHgAu

A geometry-optimized PrGaHgAu structure (PBE, the Alexandria database).

Summary:
The formation energy comes out at -0.487 eV per atom. The total energy comes out at -3.33 eV per atom. The volume is 23.2 A^3/atom.

a = 7.185 Å, b = 7.185 Å, c = 7.185 Å
α = 90.00°, β = 90.00°, γ = 90.00°
Space group F-43m (No. 216)
One atom of each set of equivalent atoms:
Pr: 0.000 0.000 0.000 (multiplicity 4)
Ga: 0.000 0.000 0.500 (multiplicity 4)
Hg: 0.250 0.250 0.250 (multiplicity 4)
Au: 0.250 0.250 0.750 (multiplicity 4)

---

# PtAu3F

A geometry-optimized PtAu3F structure (PBE, the Alexandria database).

Summary:
The total energy comes out at -3.01 eV per atom. The volume is 18.3 A^3/atom.

a = 4.507 Å, b = 4.507 Å, c = 4.507 Å
α = 90.00°, β = 90.00°, γ = 90.00°
Space group Pm-3m (No. 221)
One atom of each set of equivalent atoms:
Pt: 0.000 0.000 0.000 (multiplicity 1)
Au: 0.000 0.500 0.500 (multiplicity 3)
F: 0.500 0.500 0.500 (multiplicity 1)